{"formula": "TaTl4Cl", "functional": "GGA-PBE", "state": "optimized geometry", "cell": [[0.000, 4.393, 4.393], [4.393, 0.000, 4.393], [4.393, 4.393, 0.000]], "species": ["Ta", "Tl", "Tl", "Tl", "Tl", "Cl"], "frac_coords": [[0.000, 0.000, 0.000], [0.125, 0.625, 0.625], [0.625, 0.125, 0.625], [0.625, 0.625, 0.125], [0.625, 0.625, 0.625], [0.250, 0.250, 0.250]], "dft_energy_ev_per_atom": -3.1037, "dos_ef_per_ev_atom": 1.102, "e_form_raw_mev_per_atom": 757}